Below is a relaxed structure of Ba12H5Ir3, with properties calculated at the PBE level.

Unit cell a=15.077 b=15.077 c=15.077 alpha=109.47 beta=109.47 gamma=109.47
Positions (direct):
Ba: 0.717 0.129 0.034
Ba: 0.405 0.034 0.317
Ba: 0.466 0.783 0.871
Ba: 0.095 0.183 0.466
Ba: 0.588 0.717 0.683
Ba: 0.405 0.371 0.588
Ba: 0.317 0.534 0.405
Ba: 0.412 0.129 0.595
Ba: 0.871 0.588 0.905
Ba: 0.034 0.629 0.717
Ba: 0.629 0.034 0.217
Ba: 0.588 0.871 0.405
Ba: 0.283 0.412 0.817
Ba: 0.629 0.595 0.912
Ba: 0.129 0.717 0.534
Ba: 0.217 0.534 0.629
Ba: 0.088 0.905 0.371
Ba: 0.683 0.217 0.588
Ba: 0.412 0.283 0.317
Ba: 0.912 0.817 0.783
Ba: 0.034 0.405 0.817
Ba: 0.466 0.683 0.095
Ba: 0.966 0.371 0.283
Ba: 0.595 0.629 0.412
Ba: 0.183 0.095 0.966
Ba: 0.871 0.283 0.466
Ba: 0.966 0.595 0.183
Ba: 0.905 0.817 0.534
Ba: 0.283 0.871 0.966
Ba: 0.783 0.317 0.912
Ba: 0.595 0.966 0.683
Ba: 0.817 0.912 0.283
Ba: 0.534 0.217 0.129
Ba: 0.905 0.088 0.871
Ba: 0.317 0.783 0.412
Ba: 0.912 0.095 0.629
Ba: 0.088 0.183 0.217
Ba: 0.129 0.412 0.095
Ba: 0.717 0.588 0.183
Ba: 0.217 0.683 0.088
Ba: 0.783 0.466 0.371
Ba: 0.183 0.088 0.717
Ba: 0.371 0.966 0.783
Ba: 0.817 0.905 0.034
Ba: 0.371 0.405 0.088
Ba: 0.534 0.317 0.905
Ba: 0.683 0.466 0.595
Ba: 0.095 0.912 0.129
Ir: 0.625 0.250 0.375
Ir: 0.125 0.250 0.875
Ir: 0.750 0.875 0.625
Ir: 0.875 0.750 0.125
Ir: 0.250 0.125 0.375
Ir: 0.125 0.875 0.750
Ir: 0.375 0.750 0.625
Ir: 0.625 0.375 0.750
Ir: 0.250 0.625 0.875
Ir: 0.750 0.375 0.125
Ir: 0.875 0.125 0.250
Ir: 0.375 0.625 0.250
H: 0.375 0.250 0.125
H: 0.750 0.625 0.375
H: 0.000 0.000 0.000
H: 0.000 0.000 0.500
H: 0.500 0.000 0.000
H: 0.625 0.750 0.875
H: 0.500 0.500 0.500
H: 0.875 0.250 0.625
H: 0.500 0.000 0.500
H: 0.000 0.500 0.500
H: 0.125 0.750 0.375
H: 0.875 0.625 0.750
H: 0.500 0.500 0.000
H: 0.250 0.375 0.625
H: 0.250 0.875 0.125
H: 0.750 0.125 0.875
H: 0.125 0.375 0.250
H: 0.000 0.500 0.000
H: 0.375 0.125 0.750
H: 0.625 0.875 0.250

The calculation puts the total magnetization at 0.002 μB/f.u. The value obtained for the total DFT energy (no corrections) is -280.72 eV/cell.